The following is a PBE-GGA calculation of an optimized crystal structure of Pb4Br, from the Alexandria database.

a = 6.195 Å, b = 6.195 Å, c = 6.195 Å
α = 109.47°, β = 109.47°, γ = 109.47°
Atoms (fractional coordinates):
Pb1 0.000 0.000 0.500
Pb2 0.000 0.500 0.000
Pb3 0.500 0.000 0.000
Pb4 0.500 0.500 0.500
Br1 0.000 0.000 0.000

Summary:
The total energy is -15.28 eV for the cell shown. Its polymorph energy (0 for the lowest one) is 8.08 kcal/mol of atoms. The space group is No. 229. As for the uncorrected formation energy: 0.25 eV per atom. The value obtained for the calculated volume is 183.03 Å³/cell.


The following is a PBE-GGA calculation of an optimized crystal structure of Pa2Nb, from the Alexandria database.

a = 5.880 Å, b = 5.880 Å, c = 5.880 Å
α = 128.88°, β = 119.29°, γ = 83.28°
Atoms (fractional coordinates):
Pa1 0.176 0.166 0.009
Pa2 0.343 0.834 0.509
Pa3 0.657 0.166 0.491
Pa4 0.824 0.834 0.991
Nb1 0.249 0.499 0.750
Nb2 0.751 0.501 0.250

Summary:
The total energy is -58.01 eV for the cell shown. Its polymorph energy (0 for the lowest one) is 0.32 kcal/mol of atoms. The space group is No. 74. The value obtained for the calculated volume is 132.50 Å³/cell. The formation energy is 19 meV/atom.


The following is a PBE-GGA calculation of an optimized crystal structure of Sr6GaAu, from the Alexandria database.

a = 8.935 Å, b = 8.935 Å, c = 8.935 Å
α = 112.07°, β = 112.07°, γ = 112.07°
Atoms (fractional coordinates):
Sr1 0.051 0.335 0.335
Sr2 0.335 0.051 0.335
Sr3 0.335 0.335 0.051
Sr4 0.665 0.665 0.949
Sr5 0.665 0.949 0.665
Sr6 0.949 0.665 0.665
Ga1 0.500 0.500 0.500
Au1 0.000 0.000 0.000

Summary:
The total energy is -16.51 eV for the cell shown. The space group is No. 166. The value obtained for the calculated volume is 489.34 Å³/cell. The formation energy is -15 meV/atom.


The following is a PBE-GGA calculation of an optimized crystal structure of AlSn2Au2, from the Alexandria database.

a = 7.000 Å, b = 7.000 Å, c = 8.519 Å
α = 90.00°, β = 90.00°, γ = 143.90°
Atoms (fractional coordinates):
Al1 0.142 0.858 0.500
Al2 0.858 0.142 0.000
Sn1 0.069 0.931 0.808
Sn2 0.373 0.627 0.589
Sn3 0.627 0.373 0.089
Sn4 0.931 0.069 0.308
Au1 0.246 0.754 0.988
Au2 0.450 0.550 0.900
Au3 0.550 0.450 0.400
Au4 0.754 0.246 0.488

Summary:
The total energy is -38.26 eV for the cell shown. Its polymorph energy (0 for the lowest one) is 0.00 kcal/mol of atoms. The space group is No. 36. The value obtained for the calculated volume is 245.93 Å³/cell. The formation energy is -165 meV/atom.


The following is a PBE-GGA calculation of an optimized crystal structure of CuPdCl4, from the Alexandria database.

a = 6.263 Å, b = 4.158 Å, c = 12.704 Å
α = 90.00°, β = 111.83°, γ = 90.00°
Atoms (fractional coordinates):
Cu1 0.000 0.000 0.000
Cu2 0.000 0.500 0.500
Pd1 0.500 0.000 0.500
Pd2 0.500 0.500 0.000
Cl1 0.205 0.160 0.890
Cl2 0.205 0.340 0.390
Cl3 0.283 0.648 0.106
Cl4 0.283 0.852 0.606
Cl5 0.717 0.148 0.394
Cl6 0.717 0.352 0.894
Cl7 0.795 0.660 0.610
Cl8 0.795 0.840 0.110

Summary:
The total energy is -38.82 eV for the cell shown. The space group is No. 14. As for the uncorrected formation energy: -0.46 eV per atom. The value obtained for the calculated volume is 307.07 Å³/cell.


The following is a PBE-GGA calculation of an optimized crystal structure of AcTb2Nd5Sm, from the Alexandria database.

a = 12.560 Å, b = 12.560 Å, c = 9.543 Å
α = 90.00°, β = 90.00°, γ = 154.10°
Atoms (fractional coordinates):
Ac1 0.102 0.898 0.500
Ac2 0.898 0.102 0.000
Tb1 0.328 0.672 0.748
Tb2 0.388 0.612 0.357
Tb3 0.612 0.388 0.857
Tb4 0.672 0.328 0.248
Nd1 0.024 0.976 0.825
Nd2 0.105 0.895 0.104
Nd3 0.190 0.810 0.798
Nd4 0.241 0.759 0.434
Nd5 0.492 0.508 0.604
Nd6 0.508 0.492 0.104
Nd7 0.759 0.241 0.934
Nd8 0.810 0.190 0.298
Nd9 0.895 0.105 0.604
Nd10 0.976 0.024 0.325
Sm1 0.263 0.737 0.108
Sm2 0.737 0.263 0.608

Summary:
The total energy is -81.33 eV for the cell shown. The space group is No. 36. The value obtained for the calculated volume is 657.63 Å³/cell. The formation energy is 140 meV/atom.


The following is a PBE-GGA calculation of an optimized crystal structure of Tb8Hg2Ir, from the Alexandria database.

a = 8.655 Å, b = 8.655 Å, c = 8.655 Å
α = 146.16°, β = 122.22°, γ = 68.67°
Atoms (fractional coordinates):
Tb1 0.117 0.348 0.769
Tb2 0.121 0.121 0.000
Tb3 0.325 0.000 0.325
Tb4 0.421 0.652 0.769
Tb5 0.579 0.348 0.231
Tb6 0.675 0.000 0.675
Tb7 0.879 0.879 0.000
Tb8 0.883 0.652 0.231
Hg1 0.301 0.801 0.500
Hg2 0.699 0.199 0.500
Ir1 0.000 0.500 0.500

Summary:
The total energy is -48.91 eV for the cell shown. Its polymorph energy (0 for the lowest one) is 2.97 kcal/mol of atoms. The space group is No. 71. The value obtained for the calculated volume is 301.18 Å³/cell. The formation energy is -218 meV/atom.


The following is a PBE-GGA calculation of an optimized crystal structure of Mg2Si2Hg, from the Alexandria database.

a = 8.462 Å, b = 8.462 Å, c = 2.833 Å
α = 90.00°, β = 90.00°, γ = 90.00°
Atoms (fractional coordinates):
Mg1 0.142 0.358 0.000
Mg2 0.358 0.858 0.000
Mg3 0.642 0.142 0.000
Mg4 0.858 0.642 0.000
Si1 0.154 0.654 0.500
Si2 0.346 0.154 0.500
Si3 0.654 0.846 0.500
Si4 0.846 0.346 0.500
Hg1 0.000 0.000 0.000
Hg2 0.500 0.500 0.000

Summary:
The total energy is -27.01 eV for the cell shown. Its polymorph energy (0 for the lowest one) is 1.64 kcal/mol of atoms. The space group is No. 127. As for the uncorrected formation energy: 0.17 eV per atom. The value obtained for the calculated volume is 202.90 Å³/cell.


The following is a PBE-GGA calculation of an optimized crystal structure of La2Mn, from the Alexandria database.

a = 5.204 Å, b = 5.204 Å, c = 3.360 Å
α = 90.00°, β = 90.00°, γ = 90.00°
Atoms (fractional coordinates):
La1 0.000 0.500 0.000
La2 0.500 0.000 0.000
Mn1 0.000 0.000 0.500

Summary:
The total energy is -18.04 eV for the cell shown. The space group is No. 123. The value obtained for the calculated volume is 90.99 Å³/cell. The formation energy is 328 meV/atom.


The following is a PBE-GGA calculation of an optimized crystal structure of PdI2Br, from the Alexandria database.

a = 7.585 Å, b = 7.585 Å, c = 7.585 Å
α = 97.24°, β = 97.24°, γ = 138.40°
Atoms (fractional coordinates):
Pd1 0.000 0.000 0.000
Pd2 0.750 0.250 0.500
I1 0.375 0.220 0.345
I2 0.780 0.125 0.155
I3 0.875 0.030 0.655
I4 0.970 0.625 0.845
Br1 0.250 0.750 0.500
Br2 0.500 0.500 0.000

Summary:
The total energy is -19.74 eV for the cell shown. Its polymorph energy (0 for the lowest one) is 3.64 kcal/mol of atoms. The space group is No. 122. As for the uncorrected formation energy: 0.02 eV per atom. The value obtained for the calculated volume is 270.90 Å³/cell.


The following is a PBE-GGA calculation of an optimized crystal structure of TbHo3Er12, from the Alexandria database.

a = 4.957 Å, b = 4.957 Å, c = 19.816 Å
α = 90.00°, β = 90.00°, γ = 90.00°
Atoms (fractional coordinates):
Tb1 0.000 0.000 0.000
Ho1 0.000 0.000 0.250
Ho2 0.000 0.000 0.500
Ho3 0.000 0.000 0.750
Er1 0.000 0.500 0.125
Er2 0.000 0.500 0.375
Er3 0.000 0.500 0.625
Er4 0.000 0.500 0.875
Er5 0.500 0.000 0.125
Er6 0.500 0.000 0.375
Er7 0.500 0.000 0.625
Er8 0.500 0.000 0.875
Er9 0.500 0.500 0.000
Er10 0.500 0.500 0.250
Er11 0.500 0.500 0.500
Er12 0.500 0.500 0.750

Summary:
The total energy is -72.77 eV for the cell shown. The space group is No. 123. The value obtained for the calculated volume is 486.82 Å³/cell. The formation energy is 22 meV/atom.


The following is a PBE-GGA calculation of an optimized crystal structure of RbHgI, from the Alexandria database.

a = 6.059 Å, b = 6.059 Å, c = 6.059 Å
α = 60.00°, β = 60.00°, γ = 60.00°
Atoms (fractional coordinates):
Rb1 0.000 0.000 0.000
Hg1 0.750 0.750 0.750
I1 0.250 0.250 0.250

Summary:
The total energy is -5.46 eV for the cell shown. Its polymorph energy (0 for the lowest one) is 1.43 kcal/mol of atoms. The space group is No. 216. As for the uncorrected formation energy: -0.88 eV per atom. The value obtained for the calculated volume is 157.27 Å³/cell.